1.
Crystalline TlRe2Mo at its relaxed geometry. Source: Alexandria via LeMat-Bulk, functional PBE.

a b c (Å): 2.8312 2.8312 9.4452
angles (deg): 90.00 90.00 114.15
Closest atoms and distances in Å follow each position.
Fractional positions:
Tl 0.0000 0.0000 0.0000  6 Tl 2.83-3.08, 2 Mo 2.99, 2 Re 3.01
Re 0.0000 0.0000 0.4995  6 Re 2.63-2.83, 2 Mo 2.65
Re 0.5000 0.5000 0.2735  6 Re 2.63-2.83
Mo 0.5000 0.5000 0.7284  2 Re 2.65, 4 Mo 2.83

## Properties
SG: Cmm2 (35)
ΔE_f, meV per atom: 673.0
Energy above the most stable polymorph in this dataset, eV per atom: 0.191
Fermi-level density of states, states/eV/atom: 0.9013
Crystal system: orthorhombic



2.
Crystalline LaDyTeSe at its relaxed geometry. Source: Alexandria via LeMat-Bulk, functional PBE.

a b c (Å): 7.9503 7.9503 7.9503
angles (deg): 30.58 30.58 30.58
Closest atoms and distances in Å follow each position.
Fractional positions:
La 0.0000 0.0000 0.0000  3 Se 2.99, 3 Te 3.29
Dy 0.1869 0.1869 0.1869  3 Se 2.89, 3 Te 3.16
Te 0.4311 0.4311 0.4311  3 Dy 3.16, 3 La 3.29
Se 0.5898 0.5898 0.5898  3 Dy 2.89, 3 La 2.99

## Properties
SG: R3m (160)
Uncorrected formation energy, meV/atom: -1652
Fermi-level density of states, states/eV/atom: 0.2330
Crystal system: trigonal



3.
Crystalline BaHf2MnI at its relaxed geometry. Source: Alexandria via LeMat-Bulk, functional PBE.

a b c (Å): 5.3122 5.3122 6.1855
angles (deg): 90.00 90.00 90.00
Closest atoms and distances in Å follow each position.
Fractional positions:
Ba 0.0000 0.0000 0.0000  2 I 3.09
Hf 0.0000 0.5000 0.5000  2 I 2.66
Hf 0.5000 0.0000 0.5000  2 I 2.66
Mn 0.5000 0.5000 0.0000  4 Ba 3.76, 8 Hf 4.08
I 0.0000 0.0000 0.5000  4 Hf 2.66

## Properties
SG: P4/mmm (123)
Uncorrected formation energy, meV/atom: 1225
Fermi-level density of states, states/eV/atom: 0.6597
Crystal system: tetragonal



4.
Crystalline YPtRh at its relaxed geometry. Source: Alexandria via LeMat-Bulk, functional PBE.

a b c (Å): 4.5037 4.5037 4.5037
angles (deg): 60.00 60.00 60.00
Closest atoms and distances in Å follow each position.
Fractional positions:
Y 0.0000 0.0000 0.0000  4 Rh 2.76
Pt 0.5000 0.5000 0.5000  4 Rh 2.76
Rh 0.7500 0.7500 0.7500  4 Pt 2.76, 4 Y 2.76

## Properties
SG: F-43m (216)
ΔE_f, meV per atom: -455.2
Energy above the most stable polymorph in this dataset, eV per atom: 0.475
Fermi-level density of states, states/eV/atom: 1.9548
Crystal system: cubic